A plane-wave DFT calculation with PBE-GGA was carried out for an optimized crystal structure of Tb3Ho6Tl.

Cell lengths 12.810, 3.541, 14.375 Å; angles 90.00, 108.21, 90.00 degrees
Positions (direct):
Tb 0.010 0.250 0.397
Tb 0.377 0.250 0.997
Tb 0.468 0.250 0.592
Tb 0.532 0.750 0.408
Tb 0.623 0.750 0.003
Tb 0.990 0.750 0.603
Ho 0.139 0.750 0.023
Ho 0.144 0.250 0.808
Ho 0.218 0.250 0.599
Ho 0.254 0.750 0.396
Ho 0.336 0.250 0.217
Ho 0.385 0.750 0.789
Ho 0.615 0.250 0.211
Ho 0.664 0.750 0.783
Ho 0.746 0.250 0.604
Ho 0.782 0.750 0.401
Ho 0.856 0.750 0.192
Ho 0.861 0.250 0.977
Tl 0.078 0.250 0.196
Tl 0.922 0.750 0.804

## Properties
The total magnetization is 0.0 μB/f.u. The calculation puts the energy of formation at -0.01 eV/atom. The total energy is -87.6 eV for the cell shown. As for the density of states at the Fermi level: 27.95 states/eV/cell. Its calculated volume is 619.4 Å³/cell. The energy above the most stable polymorph in this dataset comes out at 0.000 eV per atom. The space-group type is No. 11.